[1]
The following is a GGA-PBE calculation of a relaxed structure of BaCoSe2, from the Alexandria database.

Unit cell a=5.1951 b=5.1951 c=5.1951 alpha=60.00 beta=60.00 gamma=60.00
Fractional coordinates of all 4 atoms:
Ba (0.0000, 0.0000, 0.0000)
Co (0.5000, 0.5000, 0.5000)
Se (0.2500, 0.2500, 0.2500)
Se (0.7500, 0.7500, 0.7500)

Total DFT energy (no corrections)   -17.545 eV for the cell shown
Space group   No. 225
Formation energy without anion corrections   -387 meV/atom
D(E_F)   0.158 states/eV/atom

---

[2]
The following is a GGA-PBE calculation of a relaxed structure of Dy3Cd4In2, from the Alexandria database.

Unit cell a=6.0614 b=6.0614 c=9.3002 alpha=115.69 beta=115.69 gamma=48.08
Fractional coordinates of all 9 atoms:
Dy (0.0000, 0.0000, 0.0000)
Dy (0.3342, 0.3342, 0.3298)
Dy (0.6658, 0.6658, 0.6702)
Cd (0.0743, 0.0743, 0.4100)
Cd (0.2932, 0.2932, 0.9638)
Cd (0.7068, 0.7068, 0.0362)
Cd (0.9257, 0.9257, 0.5900)
In (0.3910, 0.3910, 0.7261)
In (0.6090, 0.6090, 0.2739)

Total DFT energy (no corrections)   -26.346 eV for the cell shown
Space group   No. 12
D(E_F)   0.517 states/eV/atom
Energy of formation from the pure elements   -36.5 kJ/mol of atoms

---

[3]
The following is a GGA-PBE calculation of a relaxed structure of SiSb2Br, from the Alexandria database.

Unit cell a=6.5380 b=6.5380 c=6.5380 alpha=141.90 beta=141.90 gamma=54.98
Fractional coordinates of all 4 atoms:
Si (0.0000, 0.0000, 0.0000)
Sb (0.2500, 0.7500, 0.5000)
Sb (0.7500, 0.2500, 0.5000)
Br (0.5000, 0.5000, 0.0000)

Total DFT energy (no corrections)   -13.271 eV for the cell shown
Space group   No. 139
Energy above the most stable polymorph in this dataset   419.8 meV/atom
Formation energy without anion corrections   517 meV/atom
D(E_F)   0.547 states/eV/atom

---

[4]
The following is a GGA-PBE calculation of a relaxed structure of Tl14Ge2Te9, from the Alexandria database.

Unit cell a=9.1397 b=9.1397 c=14.2125 alpha=90.00 beta=90.00 gamma=120.00
Fractional coordinates of all 25 atoms:
Tl (0.0000, 0.0000, 0.2485)
Tl (0.0000, 0.0000, 0.7515)
Tl (0.0203, 0.6701, 0.8967)
Tl (0.1159, 0.4255, 0.5880)
Tl (0.3096, 0.8841, 0.5880)
Tl (0.3299, 0.3502, 0.8967)
Tl (0.3502, 0.0203, 0.1033)
Tl (0.4255, 0.3096, 0.4120)
Tl (0.5745, 0.6904, 0.5880)
Tl (0.6498, 0.9797, 0.8967)
Tl (0.6701, 0.6498, 0.1033)
Tl (0.6904, 0.1159, 0.4120)
Tl (0.8841, 0.5745, 0.4120)
Tl (0.9797, 0.3299, 0.1033)
Ge (0.3333, 0.6667, 0.2694)
Ge (0.6667, 0.3333, 0.7306)
Te (0.0000, 0.0000, 0.0000)
Te (0.1066, 0.3620, 0.3579)
Te (0.2554, 0.8934, 0.3579)
Te (0.3333, 0.6667, 0.0246)
Te (0.3620, 0.2554, 0.6421)
Te (0.6380, 0.7446, 0.3579)
Te (0.6667, 0.3333, 0.9754)
Te (0.7446, 0.1066, 0.6421)
Te (0.8934, 0.6380, 0.6421)

Total DFT energy (no corrections)   -75.978 eV for the cell shown
Space group   No. 147
Formation energy without anion corrections   -214 meV/atom

---

[5]
The following is a GGA-PBE calculation of a relaxed structure of BaHo2Zn, from the Alexandria database.

Unit cell a=11.7575 b=11.7575 c=11.7575 alpha=17.76 beta=17.76 gamma=17.76
Fractional coordinates of all 4 atoms:
Ba (0.0000, 0.0000, 0.0000)
Ho (0.1058, 0.1058, 0.1058)
Ho (0.8942, 0.8942, 0.8942)
Zn (0.5000, 0.5000, 0.5000)

Total DFT energy (no corrections)   -11.717 eV for the cell shown
Space group   No. 166
Energy above the most stable polymorph in this dataset   182.8 meV/atom
D(E_F)   0.960 states/eV/atom
Energy of formation from the pure elements   15.3 kJ/mol of atoms

---

[6]
The following is a GGA-PBE calculation of a relaxed structure of Sr3TmPa2P6, from the Alexandria database.

Unit cell a=7.1362 b=7.1362 c=7.3250 alpha=99.34 beta=99.34 gamma=119.99
Fractional coordinates of all 12 atoms:
Sr (0.0000, 0.0000, 0.0000)
Sr (0.3349, 0.6651, 0.0000)
Sr (0.6651, 0.3349, 0.0000)
Tm (0.5000, 0.5000, 0.5000)
Pa (0.1669, 0.8331, 0.5000)
Pa (0.8331, 0.1669, 0.5000)
P (0.0887, 0.4283, 0.2851)
P (0.2320, 0.2320, 0.7149)
P (0.4283, 0.0887, 0.2851)
P (0.5717, 0.9113, 0.7149)
P (0.7680, 0.7680, 0.2851)
P (0.9113, 0.5717, 0.7149)

Total DFT energy (no corrections)   -76.475 eV for the cell shown
Space group   No. 12
D(E_F)   0.479 states/eV/atom
Energy of formation from the pure elements   -124.7 kJ/mol of atoms